Density functional theory data (PBE) for an optimized crystal structure of YIn2Se2.

Structure (POSCAR):
```
YIn2Se2
1.0
7.572 0.000 0.000
0.000 7.572 0.000
0.000 0.000 4.788
In Se Y
4 4 2
Cartesian
6.409 2.623 2.394
1.163 4.949 2.394
2.623 1.163 2.394
4.949 6.409 2.394
6.277 5.081 0.000
2.491 6.277 0.000
5.081 1.295 0.000
1.295 2.491 0.000
0.000 0.000 0.000
3.786 3.786 0.000
```

Calculated values
- E_tot: -4.497 eV/atom
- Magnetization: 0.0 μB/cell
- Energy relative to the lowest polymorph listed for this composition: 0 meV per atom